one) A relaxed BaCr2Fe crystal. Source: Alexandria, functional PBE.

Structure (POSCAR):
```
BaCr2Fe
1.0
4.011 -0.189 0.055
2.178 3.374 0.055
1.974 1.016 6.084
Fe Cr Ba
1 2 1
direct
0.250 0.250 0.250
0.559 0.559 0.324
0.941 0.941 0.176
0.750 0.750 0.750
```

Calculated values
The value obtained for the density is 5.9 g/cm³. The calculated volume comes out at 21.08 Å³ per atom. Its symmetry is C2/m.


two) A relaxed BaCr2Fe crystal. Source: Alexandria, functional PBE.

Structure (POSCAR):
```
BaCr2Fe
1.0
3.103 0.000 0.000
0.000 3.103 0.000
0.000 0.000 7.920
Ba Fe Cr
1 1 2
direct
0.500 0.500 0.737
0.000 0.000 0.417
0.000 0.000 0.090
0.500 0.500 0.257
```

Calculated values
The value obtained for the density is 6.5 g/cm³. The calculated volume comes out at 19.06 Å³ per atom. Its symmetry is P4mm.


The structure with the least stability is two).


one) A relaxed BaCr2Fe crystal. Source: Alexandria, functional PBE.

Structure (POSCAR):
```
BaCr2Fe
1.0
5.267 -0.647 -0.439
1.189 5.172 0.439
-2.303 -3.582 3.196
Fe Cr Ba
1 2 1
direct
0.582 0.582 0.000
0.930 0.930 0.000
0.730 0.230 0.500
0.258 0.758 0.500
```

Calculated values
The value obtained for the density is 5.2 g/cm³. The calculated volume comes out at 23.78 Å³ per atom. Its symmetry is Imm2.


two) A relaxed BaCr2Fe crystal. Source: Alexandria, functional PBE.

Structure (POSCAR):
```
BaCr2Fe
1.0
0.000 3.157 3.157
3.157 0.000 3.157
3.157 3.157 0.000
Cr Fe Ba
2 1 1
direct
0.250 0.250 0.250
0.750 0.750 0.750
0.000 0.000 0.000
0.500 0.500 0.500
```

Calculated values
The value obtained for the density is 7.8 g/cm³. The calculated volume comes out at 15.74 Å³ per atom. Its symmetry is Fm-3m.


three) A relaxed BaCr2Fe crystal. Source: Alexandria, functional PBE.

Structure (POSCAR):
```
BaCr2Fe
1.0
3.258 0.000 0.000
0.000 3.264 0.009
0.000 3.227 7.356
Cr Fe Ba
2 1 1
direct
0.000 0.618 0.382
0.000 0.882 0.118
0.500 0.250 0.250
0.500 0.750 0.750
```

Calculated values
The value obtained for the density is 6.3 g/cm³. The calculated volume comes out at 19.53 Å³ per atom. Its symmetry is P2/m.


The structure with the least stability is two).


one) A relaxed BaCr3Fe crystal. Source: Alexandria, functional PBE.

Structure (POSCAR):
```
BaCr3Fe
1.0
-3.188 1.602 -3.074
-0.863 -4.411 -1.404
-3.357 -0.387 3.280
Ba Fe Cr
1 1 3
direct
0.500 0.500 0.500
0.000 0.000 0.000
0.000 0.500 0.000
0.000 0.000 0.500
0.500 0.000 0.000
```

Calculated values
The value obtained for the density is 5.6 g/cm³. The calculated volume comes out at 20.89 Å³ per atom. Its symmetry is Pm-3m.


two) A relaxed BaCr3Fe crystal. Source: Alexandria, functional PBE.

Structure (POSCAR):
```
BaCr3Fe
1.0
-2.800 -1.985 3.093
-0.119 -3.838 -2.570
3.673 -1.637 2.275
Cr Ba Fe
3 1 1
direct
0.500 0.000 0.000
0.000 0.500 0.000
0.000 0.000 0.500
0.000 0.000 0.000
0.500 0.500 0.500
```

Calculated values
The value obtained for the density is 5.9 g/cm³. The calculated volume comes out at 19.73 Å³ per atom. Its symmetry is Pm-3m.


The structure with the least stability is two).


one) A relaxed BaCr3Ga crystal. Source: Alexandria, functional PBE.

Structure (POSCAR):
```
BaCr3Ga
1.0
5.206 0.000 0.000
0.000 5.206 0.000
0.000 0.000 5.206
Cr Ga Ba
3 1 1
direct
0.000 0.500 0.000
0.500 0.000 0.000
0.000 0.000 0.500
0.500 0.500 0.500
0.000 0.000 0.000
```

Calculated values
The value obtained for the density is 4.3 g/cm³. The calculated volume comes out at 28.22 Å³ per atom. Its symmetry is Pm-3m.


two) A relaxed BaCr3Ga crystal. Source: Alexandria, functional PBE.

Structure (POSCAR):
```
BaCr3Ga
1.0
4.741 0.000 0.000
0.000 4.741 0.000
0.000 0.000 4.741
Cr Ba Ga
3 1 1
direct
0.000 0.000 0.500
0.000 0.500 0.000
0.500 0.000 0.000
0.500 0.500 0.500
0.000 0.000 0.000
```

Calculated values
The value obtained for the density is 5.7 g/cm³. The calculated volume comes out at 21.31 Å³ per atom. Its symmetry is Pm-3m.


The structure with the least stability is one).


one) A relaxed Ba2Cr2Ga crystal. Source: Alexandria, functional PBE.

Structure (POSCAR):
```
Ba2Cr2Ga
1.0
-4.732 -3.203 4.224
4.843 -4.915 1.698
1.610 2.994 4.075
Ba Cr Ga
4 4 2
direct
0.700 0.800 0.500
0.200 0.700 0.500
0.800 0.300 0.500
0.300 0.200 0.500
0.910 0.590 0.000
0.410 0.910 0.000
0.590 0.090 0.000
0.090 0.410 0.000
0.000 0.000 0.000
0.500 0.500 0.000
```

Calculated values
The value obtained for the density is 5.6 g/cm³. The calculated volume comes out at 26.80 Å³ per atom. Its symmetry is P4/mbm.


two) A relaxed Ba2Cr2Ga crystal. Source: Alexandria, functional PBE.

Structure (POSCAR):
```
Ba2Cr2Ga
1.0
6.489 0.000 0.000
0.000 6.489 0.000
3.244 3.244 3.654
Cr Ga Ba
2 1 2
direct
0.379 0.379 0.241
0.621 0.621 0.759
0.000 0.000 0.000
0.750 0.250 0.500
0.250 0.750 0.500
```

Calculated values
The value obtained for the density is 4.8 g/cm³. The calculated volume comes out at 30.77 Å³ per atom. Its symmetry is I4/mmm.


The structure with the least stability is two).


one) A relaxed BaCr3Ge crystal. Source: Alexandria, functional PBE.

Structure (POSCAR):
```
BaCr3Ge
1.0
5.138 0.000 0.000
0.000 5.138 0.000
0.000 0.000 5.138
Ba Cr Ge
1 3 1
direct
0.000 0.000 0.000
0.000 0.000 0.500
0.500 0.000 0.000
0.000 0.500 0.000
0.500 0.500 0.500
```

Calculated values
The value obtained for the density is 4.5 g/cm³. The calculated volume comes out at 27.13 Å³ per atom. Its symmetry is Pm-3m.


two) A relaxed BaCr3Ge crystal. Source: Alexandria, functional PBE.

Structure (POSCAR):
```
BaCr3Ge
1.0
5.043 0.000 0.000
0.000 5.043 0.000
0.000 0.000 5.043
Cr Ge Ba
3 1 1
direct
0.500 0.000 0.000
0.000 0.500 0.000
0.000 0.000 0.500
0.000 0.000 0.000
0.500 0.500 0.500
```

Calculated values
The value obtained for the density is 4.7 g/cm³. The calculated volume comes out at 25.66 Å³ per atom. Its symmetry is Pm-3m.


The structure with the least stability is one).


one) A relaxed BaCrI3 crystal. Source: Alexandria, functional PBE.

Structure (POSCAR):
```
BaCrI3
1.0
-5.725 -2.546 -2.383
3.281 -5.485 -2.023
-1.182 -2.894 5.930
Ba I Cr
1 3 1
direct
0.000 0.000 0.000
0.500 0.000 0.000
0.000 0.500 0.000
0.000 0.000 0.500
0.500 0.500 0.500
```

Calculated values
The value obtained for the density is 3.1 g/cm³. The calculated volume comes out at 60.25 Å³ per atom. Its symmetry is Pm-3m.


two) A relaxed BaCrI3 crystal. Source: Alexandria, functional PBE.

Structure (POSCAR):
```
BaCrI3
1.0
-3.369 -2.686 -3.791
2.767 -4.921 1.028
-3.732 -1.224 4.184
I Ba Cr
3 1 1
direct
0.000 0.500 0.000
0.000 0.000 0.500
0.500 0.000 0.000
0.500 0.500 0.500
0.000 0.000 0.000
```

Calculated values
The value obtained for the density is 5.0 g/cm³. The calculated volume comes out at 37.79 Å³ per atom. Its symmetry is Pm-3m.


The structure with the least stability is one).


one) A relaxed BaCrIN2 crystal. Source: Alexandria, functional PBE.

Structure (POSCAR):
```
BaCrIN2
1.0
-3.299 -1.318 -2.841
-1.221 -3.258 2.930
-4.447 4.451 3.098
Cr Ba N I
1 1 2 1
direct
0.500 0.500 0.500
0.000 0.000 0.000
0.500 0.000 0.000
0.000 0.500 0.000
0.000 0.000 0.500
```

Calculated values
The value obtained for the density is 3.9 g/cm³. The calculated volume comes out at 29.02 Å³ per atom. Its symmetry is P4/mmm.


two) A relaxed BaCrIN2 crystal. Source: Alexandria, functional PBE.

Structure (POSCAR):
```
BaCrIN2
1.0
4.219 0.000 0.000
0.000 6.376 0.000
0.000 0.000 4.219
N Cr Ba I
2 1 1 1
direct
0.000 0.000 0.500
0.500 0.000 0.000
0.000 0.000 0.000
0.000 0.500 0.000
0.500 0.500 0.500
```

Calculated values
The value obtained for the density is 5.0 g/cm³. The calculated volume comes out at 22.70 Å³ per atom. Its symmetry is P4/mmm.


three) A relaxed BaCrIN2 crystal. Source: Alexandria, functional PBE.

Structure (POSCAR):
```
BaCrIN2
1.0
4.334 0.000 0.000
0.000 4.334 0.000
0.000 0.000 5.370
I Ba N Cr
1 1 2 1
direct
0.000 0.000 0.500
0.500 0.500 0.500
0.500 0.000 0.000
0.000 0.500 0.000
0.000 0.000 0.000
```

Calculated values
The value obtained for the density is 5.7 g/cm³. The calculated volume comes out at 20.18 Å³ per atom. Its symmetry is P4/mmm.


The structure with the least stability is one).


one) A relaxed BaCr3In crystal. Source: Alexandria, functional PBE.

Structure (POSCAR):
```
BaCr3In
1.0
-4.304 1.665 2.716
0.470 -4.183 3.309
3.150 2.898 3.216
Cr Ba In
3 1 1
direct
0.500 0.000 0.000
0.000 0.000 0.500
0.000 0.500 0.000
0.500 0.500 0.500
0.000 0.000 0.000
```

Calculated values
The value obtained for the density is 4.4 g/cm³. The calculated volume comes out at 30.70 Å³ per atom. Its symmetry is Pm-3m.


two) A relaxed BaCr3In crystal. Source: Alexandria, functional PBE.

Structure (POSCAR):
```
BaCr3In
1.0
5.236 0.000 0.000
0.000 5.236 0.000
0.000 0.000 5.236
Cr Ba In
3 1 1
direct
0.000 0.000 0.500
0.000 0.500 0.000
0.500 0.000 0.000
0.000 0.000 0.000
0.500 0.500 0.500
```

Calculated values
The value obtained for the density is 4.7 g/cm³. The calculated volume comes out at 28.72 Å³ per atom. Its symmetry is Pm-3m.


The structure with the least stability is two).


one) A relaxed Ba2CrIr crystal. Source: Alexandria, functional PBE.

Structure (POSCAR):
```
Ba2CrIr
1.0
-3.619 -2.133 1.668
0.456 -2.964 3.381
-2.148 4.710 7.396
Ba Cr Ir
2 1 1
direct
0.519 0.519 0.443
0.981 0.981 0.057
0.750 0.750 0.750
0.250 0.250 0.250
```

Calculated values
The value obtained for the density is 5.6 g/cm³. The calculated volume comes out at 38.15 Å³ per atom. Its symmetry is C2/m.


two) A relaxed Ba2CrIr crystal. Source: Alexandria, functional PBE.

Structure (POSCAR):
```
Ba2CrIr
1.0
3.629 0.042 0.000
-0.044 3.629 0.000
0.000 0.000 9.522
Ir Ba Cr
1 2 1
direct
0.500 0.500 0.656
0.500 0.500 0.335
0.000 0.000 0.914
0.000 0.000 0.595
```

Calculated values
The value obtained for the density is 6.9 g/cm³. The calculated volume comes out at 31.35 Å³ per atom. Its symmetry is P4mm.


The structure with the least stability is one).


one) A relaxed Ba2CrIr crystal. Source: Alexandria, functional PBE.

Structure (POSCAR):
```
Ba2CrIr
1.0
-4.371 -0.665 -0.811
1.154 -3.678 -3.201
0.350 -5.804 2.874
Ba Ir Cr
2 1 1
direct
0.000 0.981 0.914
0.500 0.268 0.340
0.500 0.589 0.697
0.000 0.663 0.549
```

Calculated values
The value obtained for the density is 6.4 g/cm³. The calculated volume comes out at 33.69 Å³ per atom. Its symmetry is Amm2.


two) A relaxed Ba2CrIr crystal. Source: Alexandria, functional PBE.

Structure (POSCAR):
```
Ba2CrIr
1.0
3.811 0.000 0.000
0.000 3.884 -0.001
0.000 3.887 8.587
Ir Cr Ba
1 1 2
direct
0.500 0.750 0.750
0.500 0.250 0.250
0.000 0.460 0.540
0.000 0.040 0.960
```

Calculated values
The value obtained for the density is 6.8 g/cm³. The calculated volume comes out at 31.78 Å³ per atom. Its symmetry is Pmmm.


The structure with the least stability is two).


one) A relaxed BaCr2Ir crystal. Source: Alexandria, functional PBE.

Structure (POSCAR):
```
BaCr2Ir
1.0
-3.732 2.978 -4.343
-2.988 -2.822 -4.976
0.993 -0.468 6.360
Cr Ba Ir
2 1 1
direct
0.035 0.035 0.000
0.631 0.131 0.500
0.297 0.797 0.500
0.538 0.538 0.000
```

Calculated values
The value obtained for the density is 7.2 g/cm³. The calculated volume comes out at 24.83 Å³ per atom. Its symmetry is Imm2.


two) A relaxed BaCr2Ir crystal. Source: Alexandria, functional PBE.

Structure (POSCAR):
```
BaCr2Ir
1.0
4.223 -0.176 0.071
2.262 3.570 0.071
2.060 1.079 5.995
Ba Cr Ir
1 2 1
direct
0.250 0.250 0.250
0.440 0.440 0.681
0.060 0.060 0.819
0.750 0.750 0.750
```

Calculated values
The value obtained for the density is 7.8 g/cm³. The calculated volume comes out at 23.02 Å³ per atom. Its symmetry is R-3m.


three) A relaxed BaCr2Ir crystal. Source: Alexandria, functional PBE.

Structure (POSCAR):
```
BaCr2Ir
1.0
-1.252 -4.267 -4.369
4.196 -0.894 -4.523
-1.588 -0.206 6.025
Cr Ir Ba
2 1 1
direct
0.943 0.943 0.000
0.557 0.557 0.000
0.750 0.250 0.500
0.250 0.750 0.500
```

Calculated values
The value obtained for the density is 7.6 g/cm³. The calculated volume comes out at 23.78 Å³ per atom. Its symmetry is Immm.


The structure with the least stability is three).


one) A relaxed BaCr2Ir crystal. Source: Alexandria, functional PBE.

Structure (POSCAR):
```
BaCr2Ir
1.0
10.088 -0.088 -0.051
9.633 2.999 -0.051
9.633 1.422 2.641
Cr Ir Ba
2 1 1
direct
0.981 0.981 0.981
0.519 0.519 0.519
0.250 0.250 0.250
0.750 0.750 0.750
```

Calculated values
The value obtained for the density is 8.6 g/cm³. The calculated volume comes out at 20.92 Å³ per atom. Its symmetry is R-3m.


two) A relaxed BaCr2Ir crystal. Source: Alexandria, functional PBE.

Structure (POSCAR):
```
BaCr2Ir
1.0
5.033 -0.724 0.000
-0.732 5.032 0.000
0.000 0.000 3.178
Cr Ba Ir
2 1 1
direct
0.500 0.500 0.000
0.000 0.000 0.000
0.000 0.500 0.500
0.500 0.000 0.500
```

Calculated values
The value obtained for the density is 9.1 g/cm³. The calculated volume comes out at 19.70 Å³ per atom. Its symmetry is Cmmm.


The structure with the least stability is two).